Density functional theory data (PBE-GGA) for a geometry-optimized ZrTaAu structure.

a b c (Å): 4.7155 4.7155 5.9616
angles (deg): 90.00 90.00 120.00
Space group P-3m1 (No. 164)
Inequivalent atoms, fractional coordinates:
Zr  0.0000  0.0000  0.2477
Ta  0.3333  0.6667  0.9194
Au  0.3333  0.6667  0.4114

Mass density in g cm⁻³: 13.57
E above lowest polymorph in eV/f.u.: 0.51
N(E_F) in states/eV/f.u.: 1.88
Formation energy in eV/atom: -0.140



Density functional theory data (PBE-GGA) for a geometry-optimized PmNdGeBr structure.

a b c (Å): 5.932 5.077 8.878
angles (deg): 90.00 90.00 90.00
Space group Amm2 (No. 38)
Inequivalent atoms, fractional coordinates:
Pm  0.000  0.000  0.000
Nd  0.500  0.000  0.332
Ge  0.000  0.000  0.332
Br  0.500  0.000  0.000

Mass density in g cm⁻³: 5.49
E above lowest polymorph in eV/f.u.: 0.27
Uncorrected formation energy in eV/f.u.: -3.339
N(E_F) in states/eV/f.u.: 1.66



Density functional theory data (PBE-GGA) for a geometry-optimized Eu2HgBr structure.

a b c (Å): 4.3063 4.3063 24.7531
angles (deg): 90.00 90.00 120.00
Space group R-3m (No. 166, hexagonal axes)
Inequivalent atoms, fractional coordinates:
Eu  0.0000  0.0000  0.2480
Hg  0.0000  0.0000  0.5000
Br  0.0000  0.0000  0.0000

Mass density in g cm⁻³: 7.32
E above lowest polymorph in eV/f.u.: 0.00
Uncorrected formation energy in eV/f.u.: -3.796
N(E_F) in states/eV/f.u.: 18.78